# 1
{
  "formula": "SiSe2Br",
  "functional": "PBE-GGA",
  "state": "relaxed",
  "rho_g_cm3": 4.671,
  "m_tot_mub_per_fu": 0.0,
  "crystal_system": "monoclinic",
  "formation_energy_uncorrected_kj_per_mol_atoms": 33.71,
  "polymorph_energy_mev_per_atom": 462,
  "cell": [[-2.222, -0.686, -4.395], [4.750, -1.382, -0.502], [0.272, -4.753, -1.337]],
  "species": ["Br", "Se", "Se", "Si"],
  "fractional_positions": [[0.000, 0.500, 0.500], [0.000, 0.000, 0.000], [0.500, 0.500, 0.000], [0.500, 0.000, 0.500]]
}

***

# 2
{
  "formula": "Ac3Sn3Au8",
  "functional": "PBE-GGA",
  "state": "relaxed",
  "rho_g_cm3": 12.561,
  "ef_ev_per_atom": -0.625,
  "m_tot_mub_per_fu": 0.0,
  "crystal_system": "orthorhombic",
  "polymorph_energy_mev_per_atom": 26,
  "cell": [[-3.649, -3.104, -0.005], [-1.354, -2.119, 8.688], [-7.013, 4.541, 3.464]],
  "species": ["Ac", "Ac", "Ac", "Au", "Au", "Au", "Au", "Au", "Au", "Au", "Au", "Sn", "Sn", "Sn"],
  "fractional_positions": [[0.500, 0.500, 0.500], [0.798, 0.202, 0.202], [0.202, 0.798, 0.798], [0.164, 0.200, 0.471], [0.164, 0.471, 0.200], [0.836, 0.529, 0.800], [0.836, 0.800, 0.529], [0.638, 0.079, 0.645], [0.362, 0.355, 0.921], [0.362, 0.921, 0.355], [0.638, 0.645, 0.079], [0.000, 0.216, 0.784], [0.000, 0.784, 0.216], [0.500, 0.000, 0.000]]
}

***

# 3
{
  "formula": "Nb6Ni12Pt",
  "functional": "PBE-GGA",
  "state": "relaxed",
  "rho_g_cm3": 8.566,
  "ef_ev_per_atom": 0.171,
  "m_tot_mub_per_fu": 0.0,
  "crystal_system": "trigonal",
  "cell": [[-4.045, -5.754, -0.413], [2.096, 0.722, 6.688], [-3.965, 5.582, -1.661]],
  "species": ["Ni", "Ni", "Ni", "Ni", "Ni", "Ni", "Ni", "Ni", "Ni", "Ni", "Ni", "Ni", "Pt", "Nb", "Nb", "Nb", "Nb", "Nb", "Nb"],
  "fractional_positions": [[0.500, 0.108, 0.892], [0.108, 0.500, 0.892], [0.354, 0.138, 0.354], [0.646, 0.646, 0.862], [0.892, 0.500, 0.108], [0.862, 0.646, 0.646], [0.108, 0.892, 0.500], [0.646, 0.862, 0.646], [0.354, 0.354, 0.138], [0.138, 0.354, 0.354], [0.500, 0.892, 0.108], [0.892, 0.108, 0.500], [0.000, 0.000, 0.000], [0.689, 0.253, 0.689], [0.747, 0.311, 0.311], [0.689, 0.689, 0.253], [0.253, 0.689, 0.689], [0.311, 0.311, 0.747], [0.311, 0.747, 0.311]]
}

***

# 4
{
  "formula": "LaIn6Pd6",
  "functional": "PBE-GGA",
  "state": "relaxed",
  "rho_g_cm3": 9.428,
  "ef_ev_per_atom": -0.548,
  "m_tot_mub_per_fu": 0.0,
  "crystal_system": "orthorhombic",
  "cell": [[-3.369, 4.497, 0.432], [-1.161, 1.993, 6.966], [3.743, 6.302, 0.349]],
  "species": ["Pd", "Pd", "Pd", "Pd", "Pd", "Pd", "In", "In", "In", "In", "In", "In", "La"],
  "fractional_positions": [[0.500, 0.763, 0.237], [0.000, 0.500, 0.000], [0.500, 0.000, 0.500], [0.000, 0.000, 0.500], [0.500, 0.500, 0.000], [0.500, 0.237, 0.763], [0.344, 0.656, 0.656], [0.000, 0.660, 0.340], [0.318, 0.182, 0.182], [0.656, 0.344, 0.344], [0.000, 0.340, 0.660], [0.682, 0.818, 0.818], [0.000, 0.000, 0.000]]
}

***

# 5
{
  "formula": "CaTm2HfAs4",
  "functional": "PBE-GGA",
  "state": "relaxed",
  "rho_g_cm3": 7.675,
  "ef_ev_per_atom": -1.280,
  "m_tot_mub_per_fu": 0.0,
  "crystal_system": "monoclinic",
  "cell": [[4.022, 0.000, 0.000], [0.000, 7.020, 0.165], [0.000, -2.412, 6.504]],
  "species": ["As", "As", "As", "As", "Ca", "Tm", "Tm", "Hf"],
  "fractional_positions": [[0.000, 0.763, 0.249], [0.500, 0.763, 0.759], [0.000, 0.237, 0.751], [0.500, 0.237, 0.241], [0.500, 0.500, 0.000], [0.500, 0.000, 0.500], [0.000, 0.500, 0.500], [0.000, 0.000, 0.000]]
}

***

# 6
{
  "formula": "RbTe2H",
  "functional": "PBE-GGA",
  "state": "relaxed",
  "rho_g_cm3": 4.605,
  "m_tot_mub_per_fu": 0.0,
  "crystal_system": "trigonal",
  "polymorph_energy_mev_per_atom": 404,
  "cell": [[9.789, -0.003, -0.002], [9.028, 3.784, -0.002], [9.028, 1.814, 3.321]],
  "species": ["Rb", "H", "Te", "Te"],
  "fractional_positions": [[0.500, 0.500, 0.500], [0.000, 0.000, 0.000], [0.932, 0.932, 0.932], [0.068, 0.068, 0.068]]
}

***

# 7
{
  "formula": "NaAg2Se2",
  "functional": "PBE-GGA",
  "state": "relaxed",
  "rho_g_cm3": 4.805,
  "m_tot_mub_per_fu": 0.0,
  "crystal_system": "orthorhombic",
  "formation_energy_uncorrected_kj_per_mol_atoms": -29.07,
  "polymorph_energy_mev_per_atom": 25,
  "cell": [[4.335, 0.000, 0.000], [0.000, 4.422, 0.000], [-2.168, -2.211, 7.150]],
  "species": ["Se", "Se", "Na", "Ag", "Ag"],
  "fractional_positions": [[0.362, 0.862, 0.723], [0.638, 0.138, 0.277], [0.000, 0.000, 0.000], [0.258, 0.258, 0.516], [0.742, 0.742, 0.484]]
}

***

# 8
{
  "formula": "CoHg2As",
  "functional": "PBE-GGA",
  "state": "relaxed",
  "rho_g_cm3": 10.981,
  "ef_ev_per_atom": 0.078,
  "m_tot_mub_per_fu": 0.0,
  "crystal_system": "trigonal",
  "cell": [[9.157, 0.007, 0.004], [8.585, 3.185, 0.004], [8.585, 1.545, 2.785]],
  "species": ["Co", "Hg", "Hg", "As"],
  "fractional_positions": [[0.760, 0.760, 0.760], [0.017, 0.017, 0.017], [0.247, 0.247, 0.247], [0.476, 0.476, 0.476]]
}

***

# 9
{
  "formula": "Ca2LaBe",
  "functional": "PBE-GGA",
  "state": "relaxed",
  "rho_g_cm3": 3.005,
  "ef_ev_per_atom": 0.166,
  "m_tot_mub_per_fu": 0.0,
  "crystal_system": "monoclinic",
  "cell": [[-3.485, -0.951, -0.201], [0.462, -2.279, 2.770], [-1.815, 4.759, 8.938]],
  "species": ["La", "Ca", "Ca", "Be"],
  "fractional_positions": [[0.000, 0.428, 0.573], [0.000, 0.072, 0.928], [0.500, 0.248, 0.251], [0.500, 0.752, 0.748]]
}

***

# 10
{
  "formula": "KIO4",
  "functional": "PBE-GGA",
  "state": "relaxed",
  "rho_g_cm3": 4.246,
  "m_tot_mub_per_fu": 0.0,
  "crystal_system": "monoclinic",
  "formation_energy_uncorrected_kj_per_mol_atoms": -61.23,
  "cell": [[5.335, 0.000, 0.000], [0.000, 5.254, 0.927], [0.000, -1.124, 6.220]],
  "species": ["I", "I", "O", "O", "O", "O", "O", "O", "O", "O", "K", "K"],
  "fractional_positions": [[0.500, 0.500, 0.000], [0.000, 0.000, 0.000], [0.091, 0.981, 0.724], [0.409, 0.481, 0.724], [0.802, 0.297, 0.910], [0.909, 0.019, 0.276], [0.591, 0.519, 0.276], [0.698, 0.797, 0.910], [0.302, 0.203, 0.090], [0.198, 0.703, 0.090], [0.500, 0.000, 0.500], [0.000, 0.500, 0.500]]
}

***

# 11
{
  "formula": "InGe2Ir2",
  "functional": "PBE-GGA",
  "state": "relaxed",
  "rho_g_cm3": 12.632,
  "ef_ev_per_atom": -0.043,
  "m_tot_mub_per_fu": 0.0,
  "crystal_system": "tetragonal",
  "cell": [[7.642, 0.000, 0.000], [0.000, 7.642, 0.000], [0.000, 0.000, 2.902]],
  "species": ["In", "In", "Ir", "Ir", "Ir", "Ir", "Ge", "Ge", "Ge", "Ge"],
  "fractional_positions": [[0.000, 0.000, 0.000], [0.500, 0.500, 0.000], [0.357, 0.857, 0.000], [0.143, 0.357, 0.000], [0.643, 0.143, 0.000], [0.857, 0.643, 0.000], [0.352, 0.148, 0.500], [0.852, 0.352, 0.500], [0.148, 0.648, 0.500], [0.648, 0.852, 0.500]]
}

***

Copy entry 7 word for word.
{
  "formula": "NaAg2Se2",
  "functional": "PBE-GGA",
  "state": "relaxed",
  "rho_g_cm3": 4.805,
  "m_tot_mub_per_fu": 0.0,
  "crystal_system": "orthorhombic",
  "formation_energy_uncorrected_kj_per_mol_atoms": -29.07,
  "polymorph_energy_mev_per_atom": 25,
  "cell": [[4.335, 0.000, 0.000], [0.000, 4.422, 0.000], [-2.168, -2.211, 7.150]],
  "species": ["Se", "Se", "Na", "Ag", "Ag"],
  "fractional_positions": [[0.362, 0.862, 0.723], [0.638, 0.138, 0.277], [0.000, 0.000, 0.000], [0.258, 0.258, 0.516], [0.742, 0.742, 0.484]]
}